No. 1
DFT (GGA-PBE) results for crystalline MnZnOs2 at its relaxed geometry.

Summary:
ΔH_f (0 K) (eV per formula unit): 1.540
Calculated volume (Å³/f.u.): 56.9
Theoretical density (g cm⁻³): 14.623

abc: 2.794 4.565 8.919
angles: 90.00 90.00 90.00
Space group Cmm2 (No. 35)
Symmetry-distinct sites (fractional):
Mn: 0.000 0.000 0.000 [2 per cell]
Zn: 0.000 0.500 0.756 [2 per cell]
Os: 0.000 0.000 0.499 [2 per cell]
Os: 0.000 0.500 0.238 [2 per cell]



No. 2
DFT (GGA-PBE) results for crystalline MnZnOs2 at its relaxed geometry.

Summary:
ΔH_f (0 K) (eV per formula unit): 0.394
Calculated volume (Å³/f.u.): 54.2
Theoretical density (g cm⁻³): 15.355

abc: 2.6948 2.6948 25.8339
angles: 90.00 90.00 120.00
Space group R-3m (No. 166, hexagonal axes)
Symmetry-distinct sites (fractional):
Mn: 0.0000 0.0000 0.0000 [3 per cell]
Zn: 0.0000 0.0000 0.5000 [3 per cell]
Os: 0.0000 0.0000 0.2554 [6 per cell]



No. 3
DFT (GGA-PBE) results for crystalline MnZnOs2 at its relaxed geometry.

Summary:
ΔH_f (0 K) (eV per formula unit): 0.565
Calculated volume (Å³/f.u.): 54.9
Theoretical density (g cm⁻³): 15.153

abc: 8.752 2.705 4.721
angles: 90.00 100.89 90.00
Space group C2/m (No. 12)
Symmetry-distinct sites (fractional):
Mn: 0.000 0.000 0.000 [2 per cell]
Zn: 0.000 0.500 0.500 [2 per cell]
Os: 0.240 0.500 0.241 [4 per cell]



No. 4
DFT (GGA-PBE) results for crystalline Mn2ZnOs2 at its relaxed geometry.

Summary:
ΔH_f (0 K) (eV per formula unit): 2.411
Calculated volume (Å³/f.u.): 75.1
Theoretical density (g cm⁻³): 12.285

abc: 3.695 3.695 11.003
angles: 90.00 90.00 90.00
Space group I4/mmm (No. 139)
Symmetry-distinct sites (fractional):
Mn: 0.000 0.500 0.250 [4 per cell]
Zn: 0.000 0.000 0.000 [2 per cell]
Os: 0.000 0.000 0.389 [4 per cell]



No. 5
DFT (GGA-PBE) results for crystalline MnZn4Os at its relaxed geometry.

Summary:
ΔH_f (0 K) (eV per formula unit): 0.889
Calculated volume (Å³/f.u.): 82.7
Theoretical density (g cm⁻³): 10.178

abc: 6.915 6.915 6.915
angles: 90.00 90.00 90.00
Space group F-43m (No. 216)
Symmetry-distinct sites (fractional):
Mn: 0.000 0.000 0.000 [4 per cell]
Zn: 0.125 0.125 0.375 [16 per cell]
Os: 0.250 0.250 0.750 [4 per cell]



No. 6
DFT (GGA-PBE) results for crystalline MnZnOs2 at its relaxed geometry.

Summary:
ΔH_f (0 K) (eV per formula unit): 0.908
Calculated volume (Å³/f.u.): 55.0
Theoretical density (g cm⁻³): 15.127

abc: 3.780 3.780 7.693
angles: 90.00 90.00 90.00
Space group I-4m2 (No. 119)
Symmetry-distinct sites (fractional):
Mn: 0.000 0.000 0.000 [2 per cell]
Zn: 0.000 0.500 0.250 [2 per cell]
Os: 0.000 0.000 0.500 [2 per cell]
Os: 0.000 0.500 0.750 [2 per cell]



No. 7
DFT (GGA-PBE) results for crystalline MnZnOs at its relaxed geometry.

Summary:
ΔH_f (0 K) (eV per formula unit): 0.357
Calculated volume (Å³/f.u.): 40.1
Theoretical density (g cm⁻³): 12.873

abc: 2.6808 2.6808 6.4370
angles: 90.00 90.00 120.00
Space group P3m1 (No. 156)
Symmetry-distinct sites (fractional):
Mn: 0.0000 0.0000 0.0000 [1 per cell]
Zn: 0.3333 0.6667 0.6661 [1 per cell]
Os: 0.6667 0.3333 0.3033 [1 per cell]



No. 8
DFT (GGA-PBE) results for crystalline Mn2ZnOs2 at its relaxed geometry.

Summary:
ΔH_f (0 K) (eV per formula unit): 1.272
Calculated volume (Å³/f.u.): 70.1
Theoretical density (g cm⁻³): 13.169

abc: 7.266 7.266 2.655
angles: 90.00 90.00 90.00
Space group P4/mbm (No. 127)
Symmetry-distinct sites (fractional):
Mn: 0.164 0.336 0.000 [4 per cell]
Zn: 0.000 0.000 0.500 [2 per cell]
Os: 0.129 0.629 0.500 [4 per cell]



No. 9
DFT (GGA-PBE) results for crystalline MnZnOs2 at its relaxed geometry.

Summary:
ΔH_f (0 K) (eV per formula unit): 1.333
Calculated volume (Å³/f.u.): 56.8
Theoretical density (g cm⁻³): 14.651

abc: 2.863 4.369 4.539
angles: 90.00 90.00 90.00
Space group Pmmm (No. 47)
Symmetry-distinct sites (fractional):
Mn: 0.000 0.000 0.000 [1 per cell]
Zn: 0.500 0.000 0.500 [1 per cell]
Os: 0.000 0.500 0.500 [1 per cell]
Os: 0.500 0.500 0.000 [1 per cell]



No. 10
DFT (GGA-PBE) results for crystalline MnZnOs2 at its relaxed geometry.

Summary:
ΔH_f (0 K) (eV per formula unit): 1.165
Calculated volume (Å³/f.u.): 55.3
Theoretical density (g cm⁻³): 15.042

abc: 3.841 3.841 3.747
angles: 90.00 90.00 90.00
Space group P4/mmm (No. 123)
Symmetry-distinct sites (fractional):
Mn: 0.000 0.000 0.000 [1 per cell]
Zn: 0.500 0.500 0.000 [1 per cell]
Os: 0.000 0.500 0.500 [2 per cell]



No. 11
DFT (GGA-PBE) results for crystalline MnZnOs2 at its relaxed geometry.

Summary:
ΔH_f (0 K) (eV per formula unit): 0.729
Calculated volume (Å³/f.u.): 54.4
Theoretical density (g cm⁻³): 15.275

abc: 2.7004 2.7004 25.8622
angles: 90.00 90.00 120.00
Space group R3m (No. 160, hexagonal axes)
Symmetry-distinct sites (fractional):
Mn: 0.0000 0.0000 0.0000 [3 per cell]
Zn: 0.0000 0.0000 0.2506 [3 per cell]
Os: 0.0000 0.0000 0.4964 [3 per cell]
Os: 0.0000 0.0000 0.7438 [3 per cell]



No. 12
DFT (GGA-PBE) results for crystalline MnZnOs2 at its relaxed geometry.

Summary:
ΔH_f (0 K) (eV per formula unit): 1.289
Calculated volume (Å³/f.u.): 55.5
Theoretical density (g cm⁻³): 14.980

abc: 5.294 7.566 2.772
angles: 90.00 90.00 90.00
Space group Cmmm (No. 65)
Symmetry-distinct sites (fractional):
Mn: 0.000 0.000 0.000 [2 per cell]
Zn: 0.000 0.500 0.000 [2 per cell]
Os: 0.250 0.250 0.500 [4 per cell]



No. 13
DFT (GGA-PBE) results for crystalline MnZnOs at its relaxed geometry.

Summary:
ΔH_f (0 K) (eV per formula unit): 1.274
Calculated volume (Å³/f.u.): 44.4
Theoretical density (g cm⁻³): 11.612

abc: 5.622 5.622 5.622
angles: 90.00 90.00 90.00
Space group F-43m (No. 216)
Symmetry-distinct sites (fractional):
Mn: 0.000 0.000 0.000 [4 per cell]
Zn: 0.250 0.250 0.750 [4 per cell]
Os: 0.250 0.250 0.250 [4 per cell]



No. 14
DFT (GGA-PBE) results for crystalline MnZnOs2 at its relaxed geometry.

Summary:
ΔH_f (0 K) (eV per formula unit): 0.978
Calculated volume (Å³/f.u.): 54.4
Theoretical density (g cm⁻³): 15.288

abc: 2.698 3.640 5.539
angles: 90.00 90.00 90.00
Space group Pmmm (No. 47)
Symmetry-distinct sites (fractional):
Mn: 0.000 0.000 0.000 [1 per cell]
Zn: 0.000 0.000 0.500 [1 per cell]
Os: 0.500 0.500 0.237 [2 per cell]



No. 15
DFT (GGA-PBE) results for crystalline MnZnOs2 at its relaxed geometry.

Summary:
ΔH_f (0 K) (eV per formula unit): 2.935
Calculated volume (Å³/f.u.): 61.4
Theoretical density (g cm⁻³): 13.548

abc: 7.084 7.084 4.892
angles: 90.00 90.00 90.00
Space group I-42d (No. 122)
Symmetry-distinct sites (fractional):
Mn: 0.000 0.000 0.000 [4 per cell]
Zn: 0.000 0.000 0.500 [4 per cell]
Os: 0.190 0.250 0.125 [8 per cell]



No. 16
DFT (GGA-PBE) results for crystalline MnZnOs at its relaxed geometry.

Summary:
ΔH_f (0 K) (eV per formula unit): 0.188
Calculated volume (Å³/f.u.): 39.8
Theoretical density (g cm⁻³): 12.961

abc: 2.721 2.721 10.752
angles: 90.00 90.00 90.00
Space group P4/nmm (No. 129, origin choice 2)
Symmetry-distinct sites (fractional):
Mn: 0.250 0.250 0.246 [2 per cell]
Zn: 0.250 0.250 0.591 [2 per cell]
Os: 0.250 0.250 0.903 [2 per cell]



No. 17
DFT (GGA-PBE) results for crystalline MnZnOs2 at its relaxed geometry.

Summary:
ΔH_f (0 K) (eV per formula unit): 1.329
Calculated volume (Å³/f.u.): 56.4
Theoretical density (g cm⁻³): 14.747

abc: 6.087 6.087 6.087
angles: 90.00 90.00 90.00
Space group F-43m (No. 216)
Symmetry-distinct sites (fractional):
Mn: 0.000 0.000 0.000 [4 per cell]
Zn: 0.250 0.250 0.250 [4 per cell]
Os: 0.000 0.000 0.500 [4 per cell]
Os: 0.250 0.250 0.750 [4 per cell]



No. 18
DFT (GGA-PBE) results for crystalline MnZnOs at its relaxed geometry.

Summary:
ΔH_f (0 K) (eV per formula unit): 0.712
Calculated volume (Å³/f.u.): 42.2
Theoretical density (g cm⁻³): 12.235

abc: 2.950 4.450 12.844
angles: 90.00 90.00 90.00
Space group Fmm2 (No. 42)
Symmetry-distinct sites (fractional):
Mn: 0.000 0.000 0.000 [4 per cell]
Zn: 0.000 0.000 0.666 [4 per cell]
Os: 0.000 0.000 0.342 [4 per cell]



No. 19
DFT (GGA-PBE) results for crystalline MnZnOs2 at its relaxed geometry.

Summary:
ΔH_f (0 K) (eV per formula unit): 0.734
Calculated volume (Å³/f.u.): 55.9
Theoretical density (g cm⁻³): 14.882

abc: 8.995 2.770 4.557
angles: 90.00 100.14 90.00
Space group Cm (No. 8)
Symmetry-distinct sites (fractional):
Mn: 0.000 0.000 0.000 [2 per cell]
Zn: 0.254 0.500 0.222 [2 per cell]
Os: 0.009 0.500 0.510 [2 per cell]
Os: 0.250 0.000 0.720 [2 per cell]



No. 20
DFT (GGA-PBE) results for crystalline MnZnOs at its relaxed geometry.

Summary:
ΔH_f (0 K) (eV per formula unit): 0.467
Calculated volume (Å³/f.u.): 39.1
Theoretical density (g cm⁻³): 13.184

abc: 2.756 3.431 8.276
angles: 90.00 90.00 90.00
Space group Imm2 (No. 44)
Symmetry-distinct sites (fractional):
Mn: 0.000 0.000 0.000 [2 per cell]
Zn: 0.000 0.000 0.328 [2 per cell]
Os: 0.000 0.000 0.645 [2 per cell]



No. 21
DFT (GGA-PBE) results for crystalline MnZnOs2 at its relaxed geometry.

Summary:
ΔH_f (0 K) (eV per formula unit): 0.526
Calculated volume (Å³/f.u.): 55.9
Theoretical density (g cm⁻³): 14.865

abc: 2.751 3.834 5.304
angles: 90.00 90.09 90.00
Space group Pm (No. 6)
Symmetry-distinct sites (fractional):
Mn: 0.000 0.000 0.000 [1 per cell]
Zn: 0.499 0.500 0.767 [1 per cell]
Os: 0.498 0.500 0.268 [1 per cell]
Os: 0.998 0.000 0.493 [1 per cell]



No. 22
DFT (GGA-PBE) results for crystalline MnZnOs4 at its relaxed geometry.

Summary:
ΔH_f (0 K) (eV per formula unit): 3.900
Calculated volume (Å³/f.u.): 96.0
Theoretical density (g cm⁻³): 15.245

abc: 7.268 7.268 7.268
angles: 90.00 90.00 90.00
Space group F-43m (No. 216)
Symmetry-distinct sites (fractional):
Mn: 0.000 0.000 0.000 [4 per cell]
Zn: 0.250 0.250 0.250 [4 per cell]
Os: 0.125 0.125 0.625 [16 per cell]



No. 23
DFT (GGA-PBE) results for crystalline MnZnOs2 at its relaxed geometry.

Summary:
ΔH_f (0 K) (eV per formula unit): 0.501
Calculated volume (Å³/f.u.): 55.9
Theoretical density (g cm⁻³): 14.864

abc: 2.725 2.725 7.533
angles: 90.00 90.00 90.00
Space group P4mm (No. 99)
Symmetry-distinct sites (fractional):
Mn: 0.000 0.000 0.000 [1 per cell]
Zn: 0.500 0.500 0.751 [1 per cell]
Os: 0.000 0.000 0.490 [1 per cell]
Os: 0.500 0.500 0.252 [1 per cell]



No. 24
DFT (GGA-PBE) results for crystalline MnZnOs2 at its relaxed geometry.

Summary:
ΔH_f (0 K) (eV per formula unit): 0.761
Calculated volume (Å³/f.u.): 53.9
Theoretical density (g cm⁻³): 15.428

abc: 2.690 2.690 7.448
angles: 90.00 90.00 90.00
Space group P4/mmm (No. 123)
Symmetry-distinct sites (fractional):
Mn: 0.000 0.000 0.000 [1 per cell]
Zn: 0.000 0.000 0.500 [1 per cell]
Os: 0.500 0.500 0.232 [2 per cell]



No. 25
DFT (GGA-PBE) results for crystalline MnZnOs2 at its relaxed geometry.

Summary:
ΔH_f (0 K) (eV per formula unit): 1.097
Calculated volume (Å³/f.u.): 56.4
Theoretical density (g cm⁻³): 14.745

abc: 2.818 4.570 8.758
angles: 90.00 90.00 90.00
Space group Cmmm (No. 65)
Symmetry-distinct sites (fractional):
Mn: 0.000 0.000 0.000 [2 per cell]
Zn: 0.000 0.000 0.500 [2 per cell]
Os: 0.000 0.500 0.240 [4 per cell]



No. 26
DFT (GGA-PBE) results for crystalline Mn2ZnOs2 at its relaxed geometry.

Summary:
ΔH_f (0 K) (eV per formula unit): 1.272
Calculated volume (Å³/f.u.): 68.3
Theoretical density (g cm⁻³): 13.508

abc: 7.165 7.165 2.662
angles: 90.00 90.00 90.00
Space group P4/mbm (No. 127)
Symmetry-distinct sites (fractional):
Mn: 0.123 0.377 0.000 [4 per cell]
Zn: 0.000 0.000 0.000 [2 per cell]
Os: 0.165 0.665 0.500 [4 per cell]



No. 27
DFT (GGA-PBE) results for crystalline MnZnOs2 at its relaxed geometry.

Summary:
ΔH_f (0 K) (eV per formula unit): 0.879
Calculated volume (Å³/f.u.): 54.5
Theoretical density (g cm⁻³): 15.255

abc: 3.826 3.826 7.447
angles: 90.00 90.00 90.00
Space group I4/mmm (No. 139)
Symmetry-distinct sites (fractional):
Mn: 0.000 0.000 0.000 [2 per cell]
Zn: 0.000 0.000 0.500 [2 per cell]
Os: 0.000 0.500 0.250 [4 per cell]



No. 28
DFT (GGA-PBE) results for crystalline MnZnOs2 at its relaxed geometry.

Summary:
ΔH_f (0 K) (eV per formula unit): 0.776
Calculated volume (Å³/f.u.): 55.6
Theoretical density (g cm⁻³): 14.964

abc: 4.596 2.725 4.741
angles: 90.00 110.62 90.00
Space group P2/m (No. 10)
Symmetry-distinct sites (fractional):
Mn: 0.000 0.000 0.000 [1 per cell]
Zn: 0.000 0.500 0.500 [1 per cell]
Os: 0.500 0.000 0.500 [1 per cell]
Os: 0.500 0.500 0.000 [1 per cell]



No. 29
DFT (GGA-PBE) results for crystalline MnZnOs at its relaxed geometry.

Summary:
ΔH_f (0 K) (eV per formula unit): 0.281
Calculated volume (Å³/f.u.): 39.2
Theoretical density (g cm⁻³): 13.167

abc: 2.788 2.788 10.075
angles: 90.00 90.00 90.00
Space group I4mm (No. 107)
Symmetry-distinct sites (fractional):
Mn: 0.000 0.000 0.000 [2 per cell]
Zn: 0.000 0.000 0.333 [2 per cell]
Os: 0.000 0.000 0.648 [2 per cell]



No. 30
DFT (GGA-PBE) results for crystalline ZrMnOs2 at its relaxed geometry.

Summary:
ΔH_f (0 K) (eV per formula unit): 0.073
Calculated volume (Å³/f.u.): 63.7
Theoretical density (g cm⁻³): 13.719

abc: 9.702 2.992 4.603
angles: 90.00 107.40 90.00
Space group Cm (No. 8)
Symmetry-distinct sites (fractional):
Zr: 0.000 0.000 0.000 [2 per cell]
Mn: 0.235 0.000 0.771 [2 per cell]
Os: 0.261 0.500 0.332 [2 per cell]
Os: 0.496 0.000 0.487 [2 per cell]